(1)
First-principles (PBE) data for a relaxed Sm8Sn2Ir3 crystal, as listed in the Alexandria database.

a b c (Å): 9.0800 4.9832 9.0879
angles (deg): 90.00 113.06 90.00
Space group P2/m (No. 10)
Symmetry-distinct sites (fractional):
Sm1 0.1092 0.0000 0.3905 x2
Sm2 0.1431 0.5000 0.8677 x2
Sm3 0.3669 0.5000 0.6433 x2
Sm4 0.3864 0.0000 0.1139 x2
Sn1 0.2436 0.5000 0.2569 x2
Ir1 0.2489 0.0000 0.7490 x2
Ir2 0.5000 0.5000 0.0000 x1

Properties
- Calculated formation energy: -7.4 eV/f.u.
- Calculated total energy: -79.78 eV/cell

***

(2)
First-principles (PBE) data for a relaxed Sm8Sn2Ir crystal, as listed in the Alexandria database.

a b c (Å): 19.6847 5.0551 6.8455
angles (deg): 90.00 105.50 90.00
Space group C2/m (No. 12)
Symmetry-distinct sites (fractional):
Sm1 0.0183 0.0000 0.2866 x4
Sm2 0.0903 0.5000 0.9588 x4
Sm3 0.1462 0.5000 0.4975 x4
Sm4 0.2176 0.0000 0.8204 x4
Sn1 0.1807 0.0000 0.2525 x4
Ir1 0.0000 0.5000 0.5000 x2

Properties
- Calculated formation energy: -5.0 eV/f.u.
- Calculated total energy: -119.16 eV/cell

***

(3)
First-principles (PBE) data for a relaxed SmSn12Ir6 crystal, as listed in the Alexandria database.

a b c (Å): 12.8468 12.8468 8.8907
angles (deg): 90.00 90.00 120.00
Space group R-3m (No. 166, hexagonal axes)
Symmetry-distinct sites (fractional):
Sm1 0.0000 0.0000 0.0000 x3
Sn1 0.0000 0.3780 0.5000 x18
Sn2 0.0846 0.1692 0.3070 x18
Ir1 0.0540 0.5270 0.2478 x18

Properties
- Calculated formation energy: -2.2 eV/f.u.
- Calculated total energy: -324.28 eV/cell

***

(4)
First-principles (PBE) data for a relaxed SmSn3Ir3 crystal, as listed in the Alexandria database.

a b c (Å): 7.2845 7.2845 18.5507
angles (deg): 90.00 90.00 120.00
Space group R-3 (No. 148, hexagonal axes)
Symmetry-distinct sites (fractional):
Sm1 0.0000 0.0000 0.1568 x6
Sn1 0.0335 0.4137 0.3812 x18
Ir1 0.0150 0.2471 0.5651 x18

Properties
- Calculated formation energy: -2.2 eV/f.u.
- Calculated total energy: -273.18 eV/cell

***

(5)
First-principles (PBE) data for a relaxed Sm6Sn2Ir crystal, as listed in the Alexandria database.

a b c (Å): 6.3446 8.5019 12.0731
angles (deg): 90.00 121.59 90.00
Space group P2_1/c (No. 14)
Symmetry-distinct sites (fractional):
Sm1 0.0756 0.1727 0.4484 x4
Sm2 0.3177 0.6842 0.4492 x4
Sm3 0.3515 0.0288 0.2422 x4
Sn1 0.1727 0.1151 0.7548 x4
Ir1 0.5000 0.0000 0.5000 x2

Properties
- Calculated formation energy: -4.6 eV/f.u.
- Calculated total energy: -99.55 eV/cell

***

(6)
First-principles (PBE) data for a relaxed SmSnIr4 crystal, as listed in the Alexandria database.

a b c (Å): 7.5890 7.5890 7.5890
angles (deg): 90.00 90.00 90.00
Space group F-43m (No. 216)
Symmetry-distinct sites (fractional):
Sm1 0.0000 0.0000 0.0000 x4
Sn1 0.2500 0.2500 0.7500 x4
Ir1 0.1245 0.1245 0.3755 x16

Properties
- Calculated formation energy: -1.9 eV/f.u.
- Calculated total energy: -184.32 eV/cell

***

Q: What is the calculated total energy in the sixth record?
A: -184.32 eV/cell

***

Q: The highest calculated total energy belongs to which entry?
A: Sm8Sn2Ir3